(1)
This record from Alexandria describes Li3ZrNi after structural relaxation. The functional is PBE.

Cell lengths 4.996, 4.996, 4.996 Å; angles 90.00, 90.00, 90.00 degrees
Space group Pm-3m (No. 221)
Symmetry-distinct sites (fractional):
Li  0.000  0.000  0.500
Zr  0.000  0.000  0.000
Ni  0.500  0.500  0.500

Summary:
- ΔH_f (0 K): 8.18 eV per formula unit
- E above lowest polymorph: 106.22 kJ per mole of atoms

=====

(2)
This record from Alexandria describes Li4CoAs after structural relaxation. The functional is PBE.

Cell lengths 6.658, 6.658, 6.658 Å; angles 90.00, 90.00, 90.00 degrees
Space group F-43m (No. 216)
Symmetry-distinct sites (fractional):
Li  0.124  0.124  0.376
Co  0.250  0.250  0.750
As  0.000  0.000  0.000

Summary:
- ΔH_f (0 K): 0.69 eV per formula unit

=====

(3)
This record from Alexandria describes KCd3Hg after structural relaxation. The functional is PBE.

Cell lengths 4.783, 4.783, 12.935 Å; angles 90.00, 90.00, 90.00 degrees
Space group I4mm (No. 107)
Symmetry-distinct sites (fractional):
K  0.000  0.000  0.000
Cd  0.000  0.000  0.617
Cd  0.000  0.500  0.253
Hg  0.000  0.000  0.395

Summary:
- ΔH_f (0 K): -0.56 eV per formula unit
- E above lowest polymorph: 0.00 kJ per mole of atoms

=====

(4)
This record from Alexandria describes Th2ScHg after structural relaxation. The functional is PBE.

Cell lengths 3.442, 3.442, 9.657 Å; angles 90.00, 90.00, 90.00 degrees
Space group P4/mmm (No. 123)
Symmetry-distinct sites (fractional):
Th  0.000  0.000  0.244
Sc  0.500  0.500  0.500
Hg  0.500  0.500  0.000

Summary:
- ΔH_f (0 K): -0.16 eV per formula unit
- E above lowest polymorph: 3.54 kJ per mole of atoms

=====

(5)
This record from Alexandria describes AcAsSe2 after structural relaxation. The functional is PBE.

Cell lengths 4.7417, 4.7417, 25.0194 Å; angles 90.00, 90.00, 120.00 degrees
Space group R-3m (No. 166, hexagonal axes)
Symmetry-distinct sites (fractional):
Ac  0.0000  0.0000  0.0000
As  0.0000  0.0000  0.5000
Se  0.0000  0.0000  0.3941

Summary:
- E: -4.71 eV per atom

=====

(6)
This record from Alexandria describes Y3CSO after structural relaxation. The functional is PBE.

Cell lengths 7.691, 3.686, 8.616 Å; angles 90.00, 100.04, 90.00 degrees
Space group P2_1/m (No. 11)
Symmetry-distinct sites (fractional):
Y  0.078  0.250  0.360
Y  0.198  0.750  0.014
Y  0.371  0.750  0.663
C  0.154  0.250  0.660
S  0.353  0.750  0.339
O  0.092  0.250  0.097

Summary:
- E: -7.94 eV per atom

=====

(7)
This record from Alexandria describes Ho6MgRu2 after structural relaxation. The functional is PBE.

Cell lengths 10.956, 4.809, 9.353 Å; angles 90.00, 112.39, 90.00 degrees
Space group C2/m (No. 12)
Symmetry-distinct sites (fractional):
Ho  0.049  0.000  0.365
Ho  0.153  0.500  0.864
Ho  0.214  0.500  0.286
Mg  0.000  0.000  0.000
Ru  0.152  0.500  0.557

Summary:
- ΔH_f (0 K): -1.20 eV per formula unit
- E above lowest polymorph: 13.94 kJ per mole of atoms

=====

(8)
This record from Alexandria describes LiRe3Rh after structural relaxation. The functional is PBE.

Cell lengths 4.107, 4.107, 4.107 Å; angles 90.00, 90.00, 90.00 degrees
Space group Pm-3m (No. 221)
Symmetry-distinct sites (fractional):
Li  0.000  0.000  0.000
Re  0.000  0.000  0.500
Rh  0.500  0.500  0.500

Summary:
- ΔH_f (0 K): 6.04 eV per formula unit
- E above lowest polymorph: 0.00 kJ per mole of atoms

=====

(9)
This record from Alexandria describes AcPm2Tl after structural relaxation. The functional is PBE.

Cell lengths 3.6996, 3.6996, 36.8449 Å; angles 90.00, 90.00, 120.00 degrees
Space group R-3m (No. 166, hexagonal axes)
Symmetry-distinct sites (fractional):
Ac  0.0000  0.0000  0.0000
Pm  0.0000  0.0000  0.0985
Tl  0.0000  0.0000  0.5000

Summary:
- ΔH_f (0 K): 0.29 eV per formula unit
- E above lowest polymorph: 23.97 kJ per mole of atoms

=====

(10)
This record from Alexandria describes Pr3SmBi2 after structural relaxation. The functional is PBE.

Cell lengths 7.331, 15.093, 8.089 Å; angles 90.00, 90.00, 90.00 degrees
Space group Ibam (No. 72)
Symmetry-distinct sites (fractional):
Pr  0.000  0.000  0.250
Pr  0.000  0.298  0.250
Sm  0.000  0.500  0.000
Bi  0.167  0.148  0.000

Summary:
- ΔH_f (0 K): -2.62 eV per formula unit
- E above lowest polymorph: 21.66 kJ per mole of atoms

=====

(11)
This record from Alexandria describes KNa3Cd after structural relaxation. The functional is PBE.

Cell lengths 5.044, 8.548, 9.584 Å; angles 74.06, 89.98, 89.99 degrees
Space group P1 (No. 1)
Symmetry-distinct sites (fractional):
K  0.000  0.000  0.000
K  0.500  0.365  0.654
Na  0.001  0.532  0.927
Na  0.001  0.539  0.301
Na  0.002  0.085  0.469
Na  0.501  0.826  0.353
Na  0.501  0.833  0.728
Na  0.502  0.280  0.186
Cd  0.000  0.692  0.577
Cd  0.500  0.672  0.077

Summary:
- ΔH_f (0 K): -0.11 eV per formula unit
- E above lowest polymorph: 0.00 kJ per mole of atoms

=====

(12)
This record from Alexandria describes TmHf2Tc after structural relaxation. The functional is PBE.

Cell lengths 3.2126, 3.2126, 30.6637 Å; angles 90.00, 90.00, 120.00 degrees
Space group R-3m (No. 166, hexagonal axes)
Symmetry-distinct sites (fractional):
Tm  0.0000  0.0000  0.0000
Hf  0.0000  0.0000  0.1025
Tc  0.0000  0.0000  0.5000

Summary:
- ΔH_f (0 K): 0.70 eV per formula unit
- E above lowest polymorph: 32.36 kJ per mole of atoms

=====

(13)
This record from Alexandria describes LiCrPt2 after structural relaxation. The functional is PBE.

Cell lengths 2.749, 4.567, 9.321 Å; angles 90.00, 90.00, 90.00 degrees
Space group Cmm2 (No. 35)
Symmetry-distinct sites (fractional):
Li  0.000  0.000  0.000
Cr  0.000  0.500  0.743
Pt  0.000  0.000  0.511
Pt  0.000  0.500  0.231

Summary:
- ΔH_f (0 K): 0.20 eV per formula unit

=====

(14)
This record from Alexandria describes CdH3Br after structural relaxation. The functional is PBE.

Cell lengths 3.972, 3.972, 3.972 Å; angles 90.00, 90.00, 90.00 degrees
Space group Pm-3m (No. 221)
Symmetry-distinct sites (fractional):
Cd  0.000  0.000  0.000
H  0.000  0.000  0.500
Br  0.500  0.500  0.500

Summary:
- E above lowest polymorph: 0.00 kJ per mole of atoms

=====

(15)
This record from Alexandria describes TbSmCuSi after structural relaxation. The functional is PBE.

Cell lengths 4.130, 4.137, 10.743 Å; angles 90.00, 90.00, 90.00 degrees
Space group Amm2 (No. 38)
Symmetry-distinct sites (fractional):
Tb  0.000  0.000  0.000
Sm  0.500  0.000  0.719
Cu  0.500  0.000  0.426
Si  0.000  0.000  0.292

Summary:
- E above lowest polymorph: 0.00 kJ per mole of atoms

=====

(16)
This record from Alexandria describes YMgPb2 after structural relaxation. The functional is PBE.

Cell lengths 4.930, 4.930, 4.418 Å; angles 90.00, 90.00, 90.00 degrees
Space group P4/mmm (No. 123)
Symmetry-distinct sites (fractional):
Y  0.000  0.000  0.000
Mg  0.500  0.500  0.000
Pb  0.000  0.500  0.500

Summary:
- ΔH_f (0 K): -1.34 eV per formula unit

=====

(17)
This record from Alexandria describes Hf4ZnRe after structural relaxation. The functional is PBE.

Cell lengths 4.5989, 4.5989, 21.8621 Å; angles 90.00, 90.00, 120.00 degrees
Space group R-3m (No. 166, hexagonal axes)
Symmetry-distinct sites (fractional):
Hf  0.0000  0.0000  0.1221
Hf  0.0000  0.0000  0.3709
Zn  0.0000  0.0000  0.5000
Re  0.0000  0.0000  0.0000

Summary:
- ΔH_f (0 K): 0.93 eV per formula unit

=====

(18)
This record from Alexandria describes CaTa2As after structural relaxation. The functional is PBE.

Cell lengths 3.448, 3.448, 7.094 Å; angles 90.00, 90.00, 90.00 degrees
Space group P4/mmm (No. 123)
Symmetry-distinct sites (fractional):
Ca  0.000  0.000  0.000
Ta  0.500  0.500  0.321
As  0.000  0.000  0.500

Summary:
- ΔH_f (0 K): 0.98 eV per formula unit

=====

(19)
This record from Alexandria describes Ca2La4As3O2 after structural relaxation. The functional is PBE.

Cell lengths 4.806, 4.806, 24.113 Å; angles 90.00, 90.00, 90.00 degrees
Space group I4/mmm (No. 139)
Symmetry-distinct sites (fractional):
Ca  0.000  0.000  0.202
La  0.000  0.500  0.082
As  0.000  0.000  0.325
As  0.000  0.000  0.500
O  0.000  0.000  0.106

Summary:
- E: -6.15 eV per atom

=====

(20)
This record from Alexandria describes Cu2GePt2 after structural relaxation. The functional is PBE.

Cell lengths 9.256, 4.931, 6.791 Å; angles 90.00, 113.27, 90.00 degrees
Space group C2/c (No. 15)
Symmetry-distinct sites (fractional):
Cu  0.106  0.130  0.451
Ge  0.000  0.312  0.750
Pt  0.174  0.373  0.144

Summary:
- ΔH_f (0 K): -1.12 eV per formula unit
- E above lowest polymorph: 2.61 kJ per mole of atoms

=====

(21)
This record from Alexandria describes ZrTc2Br after structural relaxation. The functional is PBE.

Cell lengths 3.244, 5.108, 8.787 Å; angles 90.00, 90.00, 90.00 degrees
Space group Cmmm (No. 65)
Symmetry-distinct sites (fractional):
Zr  0.000  0.000  0.000
Tc  0.000  0.500  0.243
Br  0.000  0.000  0.500

Summary:
- E above lowest polymorph: 52.94 kJ per mole of atoms

=====

(22)
This record from Alexandria describes LiLa2SmS4 after structural relaxation. The functional is PBE.

Cell lengths 6.957, 4.078, 7.067 Å; angles 90.00, 109.76, 90.00 degrees
Space group P2/m (No. 10)
Symmetry-distinct sites (fractional):
Li  0.000  0.000  0.000
La  0.500  0.000  0.500
La  0.500  0.500  0.000
Sm  0.000  0.500  0.500
S  0.236  0.000  0.751
S  0.236  0.500  0.243

Summary:
- E: -6.09 eV per atom

=====

(23)
This record from Alexandria describes CsRb2NaBi after structural relaxation. The functional is PBE.

Cell lengths 7.291, 7.291, 7.532 Å; angles 90.00, 90.00, 90.00 degrees
Space group P4/mmm (No. 123)
Symmetry-distinct sites (fractional):
Cs  0.000  0.000  0.000
Rb  0.000  0.500  0.500
Na  0.500  0.500  0.000
Bi  0.000  0.000  0.500

Summary:
- ΔH_f (0 K): -0.27 eV per formula unit
- E above lowest polymorph: 10.22 kJ per mole of atoms

=====

(24)
This record from Alexandria describes Cs2LaI6Br after structural relaxation. The functional is PBE.

Cell lengths 9.766, 9.766, 11.836 Å; angles 90.00, 90.00, 90.00 degrees
Space group I4/mmm (No. 139)
Symmetry-distinct sites (fractional):
Cs  0.000  0.500  0.250
La  0.000  0.000  0.000
I  0.000  0.000  0.272
I  0.226  0.226  0.000
Br  0.000  0.000  0.500

Summary:
- E: -2.90 eV per atom

=====

(25)
This record from Alexandria describes BaSbRu2 after structural relaxation. The functional is PBE.

Cell lengths 6.689, 9.013, 3.205 Å; angles 90.00, 117.48, 90.00 degrees
Space group C2/m (No. 12)
Symmetry-distinct sites (fractional):
Ba  0.000  0.000  0.000
Sb  0.000  0.500  0.000
Ru  0.250  0.250  0.500

Summary:
- E: -5.42 eV per atom

=====

(26)
This record from Alexandria describes Pm6SmEr4 after structural relaxation. The functional is PBE.

Cell lengths 6.661, 6.661, 17.079 Å; angles 90.00, 90.00, 90.00 degrees
Space group I-42m (No. 121)
Symmetry-distinct sites (fractional):
Pm  0.000  0.500  0.000
Pm  0.189  0.189  0.177
Sm  0.000  0.000  0.000
Er  0.179  0.179  0.374

Summary:
- ΔH_f (0 K): 3.42 eV per formula unit
- E above lowest polymorph: 19.05 kJ per mole of atoms

=====

(27)
This record from Alexandria describes LuPuBiAu after structural relaxation. The functional is PBE.

Cell lengths 7.448, 7.448, 7.448 Å; angles 90.00, 90.00, 90.00 degrees
Space group F-43m (No. 216)
Symmetry-distinct sites (fractional):
Lu  0.000  0.000  0.000
Pu  0.000  0.000  0.500
Bi  0.250  0.250  0.750
Au  0.250  0.250  0.250

Summary:
- ΔH_f (0 K): -1.87 eV per formula unit